Record 1
Entry from the Alexandria database: CuSbSe2 at its PBEsol-relaxed geometry (meta-GGA SCAN).

a = 3.5026 Å, b = 3.5026 Å, c = 8.5501 Å
α = 78.18°, β = 78.18°, γ = 60.00°
Element x y z (fractional)
Sb (0.0000, 0.0000, 0.0000)
Cu (0.5000, 0.5000, 0.5000)
Se (0.8882, 0.8882, 0.3353)
Se (0.1118, 0.1118, 0.6647)

Results
**Uncorrected formation energy**: 35 meV per atom

***

Record 2
Entry from the Alexandria database: MgSc2Ag at its PBEsol-relaxed geometry (meta-GGA SCAN).

a = 3.4660 Å, b = 3.4660 Å, c = 6.9165 Å
α = 90.00°, β = 90.00°, γ = 90.00°
Element x y z (fractional)
Sc (0.0000, 0.0000, 0.9965)
Sc (0.5000, 0.5000, 0.2728)
Mg (0.5000, 0.5000, 0.7247)
Ag (0.0000, 0.0000, 0.5061)

Results
**Formation energy from the elements**: -0.18 eV per atom

***

Record 3
Entry from the Alexandria database: CdW2Se at its PBEsol-relaxed geometry (meta-GGA SCAN).

a = 2.8581 Å, b = 2.8581 Å, c = 9.1060 Å
α = 90.00°, β = 90.00°, γ = 114.87°
Element x y z (fractional)
Cd (0.5000, 0.5000, 0.5000)
Se (0.5000, 0.5000, 0.0000)
W (0.0000, 0.0000, 0.2299)
W (0.0000, 0.0000, 0.7701)

Results
**Uncorrected formation energy**: 934 meV per atom
**Relative energy among the computed polymorphs**: 516 meV per atom

***

Record 4
Entry from the Alexandria database: Y2PtPb at its PBEsol-relaxed geometry (meta-GGA SCAN).

a = 3.8003 Å, b = 3.8003 Å, c = 9.1084 Å
α = 77.96°, β = 77.96°, γ = 60.00°
Element x y z (fractional)
Pb (0.5155, 0.5155, 0.4534)
Pt (0.2486, 0.2486, 0.2543)
Y (0.9772, 0.9772, 0.0684)
Y (0.7587, 0.7587, 0.7239)

Results
**Formation energy from the elements**: -0.45 eV per atom